1.
Entry from the Alexandria database: a relaxed structure of Ba2UI3N3 (GGA-PBE).

- Density: 5.6 g cm⁻³
- Space-group type: No. 189
- N(E_F): 8.3 states/eV per cell
- Formation energy from raw total energies: -0.41 eV/atom
- Spin magnetization: 1.44 Bohr magnetons per cell

a = 3.643 Å, b = 9.399 Å, c = 9.399 Å
α = 120.00°, β = 90.00°, γ = 90.00°
Last column: magnetic moment on the atom in μB.
Atoms (fractional coordinates):
I 0.000 0.000 0.408  0.01
I 0.000 0.408 0.000  0.01
I 0.000 0.592 0.592  0.01
N 0.500 0.143 0.143  0.28
N 0.500 0.857 0.000  0.28
N 0.500 0.000 0.857  0.28
Ba 0.500 0.667 0.333  0.00
Ba 0.500 0.333 0.667  0.00
U 0.000 0.000 0.000  0.19

---

2.
Entry from the Alexandria database: a relaxed structure of BaVIN2 (GGA-PBE).

- Density: 4.1 g cm⁻³
- Space-group type: No. 123
- N(E_F): 12.0 states/eV per cell
- Formation energy from raw total energies: 2.03 eV/atom
- Spin magnetization: 0.79 Bohr magnetons per cell

a = 4.560 Å, b = 4.560 Å, c = 6.658 Å
α = 90.00°, β = 90.00°, γ = 90.00°
Last column: magnetic moment on the atom in μB.
Atoms (fractional coordinates):
Ba 0.000 0.000 0.000  -0.03
N 0.500 0.000 0.000  -0.03
N 0.000 0.500 0.000  -0.03
I 0.000 0.000 0.500  0.01
V 0.500 0.500 0.500  0.78

---

3.
Entry from the Alexandria database: a relaxed structure of BaVIN2 (GGA-PBE).

- Density: 5.8 g cm⁻³
- Space-group type: No. 123
- N(E_F): 3.5 states/eV per cell
- Formation energy from raw total energies: 0.16 eV/atom
- Spin magnetization: 0.00 Bohr magnetons per cell

a = 4.287 Å, b = 4.287 Å, c = 5.322 Å
α = 90.00°, β = 90.00°, γ = 90.00°
Atoms (fractional coordinates):
V 0.000 0.000 0.000
N 0.500 0.000 0.000
N 0.000 0.500 0.000
I 0.000 0.000 0.500
Ba 0.500 0.500 0.500

---

4.
Entry from the Alexandria database: a relaxed structure of BaWIN2 (GGA-PBE).

- Density: 7.8 g cm⁻³
- Space-group type: No. 123
- N(E_F): 3.2 states/eV per cell
- Formation energy from raw total energies: 0.18 eV/atom
- Spin magnetization: 0.06 Bohr magnetons per cell

a = 4.278 Å, b = 4.278 Å, c = 5.561 Å
α = 90.00°, β = 90.00°, γ = 90.00°
Last column: magnetic moment on the atom in μB.
Atoms (fractional coordinates):
N 0.500 0.000 0.000  -0.08
N 0.000 0.500 0.000  -0.08
I 0.000 0.000 0.500  0.01
Ba 0.500 0.500 0.500  0.01
W 0.000 0.000 0.000  0.20

---

5.
Entry from the Alexandria database: a relaxed structure of Ba2WIN (GGA-PBE).

- Density: 5.5 g cm⁻³
- Space-group type: No. 123
- N(E_F): 5.5 states/eV per cell
- Formation energy from raw total energies: 1.41 eV/atom
- Spin magnetization: 4.64 Bohr magnetons per cell

a = 6.498 Å, b = 4.312 Å, c = 6.498 Å
α = 90.00°, β = 90.00°, γ = 90.00°
Last column: magnetic moment on the atom in μB.
Atoms (fractional coordinates):
W 0.500 0.500 0.500  2.98
Ba 0.000 0.000 0.500  0.00
Ba 0.500 0.000 0.000  0.01
I 0.000 0.000 0.000  0.02
N 0.000 0.500 0.000  0.26

---

6.
Entry from the Alexandria database: a relaxed structure of BaWI2N (GGA-PBE).

- Density: 4.0 g cm⁻³
- Space-group type: No. 123
- N(E_F): 9.1 states/eV per cell
- Formation energy from raw total energies: 1.48 eV/atom
- Spin magnetization: 7.73 Bohr magnetons per cell

a = 6.771 Å, b = 6.771 Å, c = 5.363 Å
α = 90.00°, β = 90.00°, γ = 90.00°
Last column: magnetic moment on the atom in μB.
Atoms (fractional coordinates):
I 0.000 0.500 0.000  0.05
I 0.500 0.000 0.000  0.05
W 0.500 0.500 0.500  3.67
N 0.000 0.000 0.500  1.44
Ba 0.000 0.000 0.000  0.02

---

7.
Entry from the Alexandria database: a relaxed structure of BaWIN2 (GGA-PBE).

- Density: 5.5 g cm⁻³
- Space-group type: No. 123
- N(E_F): 5.2 states/eV per cell
- Formation energy from raw total energies: 2.43 eV/atom
- Spin magnetization: 4.56 Bohr magnetons per cell

a = 4.511 Å, b = 4.511 Å, c = 7.009 Å
α = 90.00°, β = 90.00°, γ = 90.00°
Last column: magnetic moment on the atom in μB.
Atoms (fractional coordinates):
I 0.000 0.000 0.500  -0.02
Ba 0.000 0.000 0.000  -0.05
N 0.500 0.000 0.000  -0.02
N 0.000 0.500 0.000  -0.02
W 0.500 0.500 0.500  3.38

---

8.
Entry from the Alexandria database: a relaxed structure of BaWI2N (GGA-PBE).

- Density: 7.2 g cm⁻³
- Space-group type: No. 123
- N(E_F): 3.5 states/eV per cell
- Formation energy from raw total energies: -0.24 eV/atom
- Spin magnetization: 0.08 Bohr magnetons per cell

a = 5.859 Å, b = 5.859 Å, c = 3.948 Å
α = 90.00°, β = 90.00°, γ = 90.00°
Last column: magnetic moment on the atom in μB.
Atoms (fractional coordinates):
W 0.000 0.000 0.000  0.08
I 0.000 0.500 0.000  0.00
I 0.500 0.000 0.000  0.00
Ba 0.500 0.500 0.500  -0.01
N 0.000 0.000 0.500  -0.01